Record 1
An optimized crystal structure of NaCrSb3, computed with GGA-PBE.

a = 5.273 Å, b = 5.273 Å, c = 5.273 Å
α = 90.00°, β = 90.00°, γ = 90.00°
Element x y z (fractional)
Sb (0.000, 0.500, 0.000)
Sb (0.500, 0.000, 0.000)
Na (0.000, 0.000, 0.000)
Cr (0.500, 0.500, 0.500)
Sb (0.000, 0.000, 0.500)

Summary:
Distance to the lowest polymorph of the same formula = 1.351 eV per atom
Calculated volume = 29.317 A^3/atom

=====

Record 2
An optimized crystal structure of NaCrSb3, computed with GGA-PBE.

a = 5.193 Å, b = 5.193 Å, c = 5.193 Å
α = 90.00°, β = 90.00°, γ = 90.00°
Element x y z (fractional)
Cr (0.000, 0.000, 0.000)
Sb (0.000, 0.000, 0.500)
Sb (0.500, 0.000, 0.000)
Sb (0.000, 0.500, 0.000)
Na (0.500, 0.500, 0.500)

Summary:
Distance to the lowest polymorph of the same formula = 0.000 eV per atom
Calculated volume = 28.015 A^3/atom

=====

Record 3
An optimized crystal structure of Na2Cr2SbSe6, computed with GGA-PBE.

a = 6.656 Å, b = 6.656 Å, c = 7.336 Å
α = 98.16°, β = 98.16°, γ = 120.63°
Element x y z (fractional)
Se (0.705, 0.705, 0.704)
Sb (0.000, 0.000, 0.500)
Se (0.578, 0.938, 0.299)
Cr (0.333, 0.667, 0.500)
Se (0.062, 0.422, 0.701)
Na (0.159, 0.841, 0.000)
Cr (0.667, 0.333, 0.500)
Se (0.938, 0.578, 0.299)
Na (0.841, 0.159, 0.000)
Se (0.422, 0.062, 0.701)
Se (0.295, 0.295, 0.296)

Summary:
Energy = -4.932 eV/atom
Calculated volume = 24.358 A^3/atom

=====

Record 4
An optimized crystal structure of Na3CrSb3Se8, computed with GGA-PBE.

a = 8.035 Å, b = 8.040 Å, c = 8.587 Å
α = 117.96°, β = 89.99°, γ = 119.99°
Element x y z (fractional)
Se (0.769, 0.988, 0.707)
Na (0.000, 0.500, 0.000)
Se (0.219, 0.988, 0.707)
Sb (0.000, 0.500, 0.500)
Se (0.745, 0.489, 0.734)
Sb (0.500, 0.000, 0.500)
Se (0.219, 0.438, 0.707)
Sb (0.500, 0.500, 0.500)
Na (0.500, 0.500, 0.000)
Se (0.781, 0.012, 0.293)
Cr (0.000, 0.000, 0.500)
Na (0.000, 0.000, 0.000)
Se (0.781, 0.562, 0.293)
Se (0.255, 0.511, 0.266)
Se (0.231, 0.012, 0.293)

Summary:
Energy = -4.173 eV/atom
Calculated volume = 26.935 A^3/atom

=====

Record 5
An optimized crystal structure of Na2CrSbSe4, computed with GGA-PBE.

a = 6.937 Å, b = 7.327 Å, c = 7.145 Å
α = 132.04°, β = 130.66°, γ = 71.10°
Element x y z (fractional)
Na (0.297, 0.297, 0.594)
Na (0.546, 0.047, 0.093)
Sb (0.775, 0.774, 0.549)
Se (0.039, 0.085, 0.640)
Se (0.600, 0.556, 0.640)
Cr (0.006, 0.506, 0.011)
Se (0.840, 0.358, 0.124)
Se (0.284, 0.765, 0.123)

Summary:
Energy = -4.400 eV/atom
Calculated volume = 25.066 A^3/atom

=====

Record 6
An optimized crystal structure of Na3Cr2SbSe6, computed with GGA-PBE.

a = 6.761 Å, b = 6.761 Å, c = 7.309 Å
α = 98.98°, β = 98.98°, γ = 120.06°
Element x y z (fractional)
Na (0.500, 0.500, 0.500)
Se (0.070, 0.433, 0.208)
Na (0.842, 0.158, 0.500)
Na (0.158, 0.842, 0.500)
Se (0.433, 0.070, 0.208)
Se (0.930, 0.567, 0.792)
Se (0.292, 0.292, 0.792)
Cr (0.333, 0.667, 0.000)
Se (0.708, 0.708, 0.208)
Sb (0.000, 0.000, 0.000)
Cr (0.667, 0.333, 0.000)
Se (0.567, 0.930, 0.792)

Summary:
Energy = -4.746 eV/atom
Calculated volume = 22.892 A^3/atom

=====

Record 7
An optimized crystal structure of NaSr2CrSb, computed with GGA-PBE.

a = 6.426 Å, b = 5.260 Å, c = 6.426 Å
α = 90.00°, β = 90.00°, γ = 90.00°
Element x y z (fractional)
Sr (0.500, 0.000, 0.000)
Sb (0.000, 0.000, 0.000)
Na (0.500, 0.500, 0.500)
Sr (0.000, 0.000, 0.500)
Cr (0.000, 0.500, 0.000)

Summary:
Energy = -3.606 eV/atom
Calculated volume = 43.443 A^3/atom

=====

Record 8
An optimized crystal structure of NaCrSbTe2, computed with GGA-PBE.

a = 5.464 Å, b = 5.464 Å, c = 5.047 Å
α = 90.00°, β = 90.00°, γ = 90.00°
Element x y z (fractional)
Na (0.500, 0.500, 0.500)
Cr (0.000, 0.000, 0.000)
Te (0.000, 0.500, 0.000)
Sb (0.000, 0.000, 0.500)
Te (0.500, 0.000, 0.000)

Summary:
Distance to the lowest polymorph of the same formula = 0.000 eV per atom
Calculated volume = 30.138 A^3/atom